Compound: CaGe3Ir
Source: Alexandria via LeMat-Bulk
Functional: PBE-GGA
Structure: optimized geometry

Cell: 5.077 5.077 5.077 Å, 90.00 90.00 90.00°
Fractional positions:
Ca (0.000, 0.000, 0.000)
Ge (0.000, 0.000, 0.500)
Ge (0.000, 0.500, 0.000)
Ge (0.500, 0.000, 0.000)
Ir (0.500, 0.500, 0.500)

The space group is Pm-3m (221). The raw total energy comes out at -3.19 eV per atom. As for the energy of formation: 1.752 eV per atom.